<w>
Computed, not measured: an optimized crystal structure of PmAuSO at the GGA-PBE level of DFT.

Calculated values
magnetic moment	0.0002	μB/atom

abc: 3.9883 3.9883 9.0119
angles: 90.00 90.00 90.00
Sites, in units of the cell vectors:
Pm: 0.0000 0.0000 0.0000
Pm: 0.5000 0.5000 0.2647
Au: 0.0000 0.5000 0.6329
Au: 0.5000 0.0000 0.6329
S: 0.0000 0.0000 0.4237
S: 0.5000 0.5000 0.8416
O: 0.0000 0.5000 0.1323
O: 0.5000 0.0000 0.1323

---

<x>
Computed, not measured: an optimized crystal structure of PmAuSO at the GGA-PBE level of DFT.

Calculated values
magnetic moment	0.0001	μB/atom

abc: 7.5729 6.7198 5.6945
angles: 90.00 90.00 90.00
Sites, in units of the cell vectors:
Pm: 0.0942 0.1806 0.0000
Pm: 0.4058 0.1806 0.5000
Pm: 0.5942 0.8194 0.0000
Pm: 0.9058 0.8194 0.5000
Au: 0.1785 0.7350 0.1064
Au: 0.3215 0.7350 0.6064
Au: 0.6785 0.2650 0.1064
Au: 0.8215 0.2650 0.6064
S: 0.0903 0.4140 0.5134
S: 0.4097 0.4140 0.0134
S: 0.5903 0.5860 0.5134
S: 0.9097 0.5860 0.0134
O: 0.1538 0.9895 0.6580
O: 0.3462 0.9895 0.1580
O: 0.6538 0.0105 0.6580
O: 0.8462 0.0105 0.1580

---

Which is most stable? The ranking, best first, is <w>, <x>.

---

<w>
Computed, not measured: an optimized crystal structure of PmAuSO at the GGA-PBE level of DFT.

Calculated values
magnetic moment	0.0000	μB/atom

abc: 5.7911 5.7859 10.9720
angles: 90.00 91.98 90.00
Sites, in units of the cell vectors:
Pm: 0.0064 0.0000 0.1027
Pm: 0.4942 0.9996 0.8971
Pm: 0.5058 0.4996 0.1029
Pm: 0.9936 0.5000 0.8973
Au: 0.0021 0.0210 0.7169
Au: 0.3085 0.2744 0.5031
Au: 0.6915 0.7744 0.4969
Au: 0.9979 0.5210 0.2831
S: 0.2864 0.2390 0.2931
S: 0.2923 0.3050 0.7126
S: 0.7077 0.8050 0.2874
S: 0.7136 0.7390 0.7069
O: 0.2487 0.2488 0.0012
O: 0.2515 0.7490 0.9998
O: 0.7485 0.2490 0.0002
O: 0.7513 0.7488 0.9988

---

<x>
Computed, not measured: an optimized crystal structure of PmAuSO at the GGA-PBE level of DFT.

Calculated values
magnetic moment	0.0002	μB/atom

abc: 5.6351 5.6351 9.1121
angles: 90.00 90.00 90.00
Sites, in units of the cell vectors:
Pm: 0.0000 0.0000 0.0000
Pm: 0.0000 0.5000 0.2617
Pm: 0.5000 0.0000 0.2617
Pm: 0.5000 0.5000 0.0000
Au: 0.1801 0.3199 0.6232
Au: 0.3199 0.8199 0.6232
Au: 0.6801 0.1801 0.6232
Au: 0.8199 0.6801 0.6232
S: 0.0000 0.0000 0.4290
S: 0.0000 0.5000 0.8478
S: 0.5000 0.0000 0.8478
S: 0.5000 0.5000 0.4290
O: 0.2491 0.2509 0.1327
O: 0.2509 0.7509 0.1327
O: 0.7491 0.2491 0.1327
O: 0.7509 0.7491 0.1327

---

Which is most stable? The ranking, best first, is <w>, <x>.

---

<w>
Computed, not measured: an optimized crystal structure of PmAuSO at the GGA-PBE level of DFT.

Calculated values
magnetic moment	0.0003	μB/atom

abc: 5.7228 9.1164 5.7383
angles: 90.00 90.00 90.00
Sites, in units of the cell vectors:
Pm: 0.0000 0.1275 0.2500
Pm: 0.0000 0.8725 0.7500
Pm: 0.5000 0.1275 0.7500
Pm: 0.5000 0.8725 0.2500
Au: 0.2500 0.5000 0.2449
Au: 0.2500 0.5000 0.7449
Au: 0.7500 0.5000 0.2551
Au: 0.7500 0.5000 0.7551
S: 0.0000 0.2880 0.7500
S: 0.0000 0.7120 0.2500
S: 0.5000 0.2880 0.2500
S: 0.5000 0.7120 0.7500
O: 0.2500 0.0000 0.0009
O: 0.2500 0.0000 0.5009
O: 0.7500 0.0000 0.4991
O: 0.7500 0.0000 0.9991

---

<x>
Computed, not measured: an optimized crystal structure of PmAuSO at the GGA-PBE level of DFT.

Calculated values
magnetic moment	0.0002	μB/atom

abc: 3.9891 3.9891 9.0165
angles: 90.00 90.00 90.00
Sites, in units of the cell vectors:
Pm: 0.2500 0.2500 0.1323
Pm: 0.7500 0.7500 0.8677
Au: 0.2500 0.7500 0.5000
Au: 0.7500 0.2500 0.5000
S: 0.2500 0.2500 0.7089
S: 0.7500 0.7500 0.2911
O: 0.2500 0.7500 0.0000
O: 0.7500 0.2500 0.0000

---

<y>
Computed, not measured: an optimized crystal structure of PmAuSO at the GGA-PBE level of DFT.

Calculated values
magnetic moment	0.0002	μB/atom

abc: 9.2202 5.5730 5.6979
angles: 90.00 90.00 90.00
Sites, in units of the cell vectors:
Pm: 0.1282 0.0055 0.2500
Pm: 0.1282 0.4945 0.7500
Pm: 0.8718 0.5055 0.2500
Pm: 0.8718 0.9945 0.7500
Au: 0.4439 0.2500 0.0000
Au: 0.4439 0.2500 0.5000
Au: 0.5561 0.7500 0.0000
Au: 0.5561 0.7500 0.5000
S: 0.2929 0.5227 0.2500
S: 0.2929 0.9773 0.7500
S: 0.7071 0.0227 0.2500
S: 0.7071 0.4773 0.7500
O: 0.0025 0.7500 0.0000
O: 0.0025 0.7500 0.5000
O: 0.9975 0.2500 0.0000
O: 0.9975 0.2500 0.5000

---

<z>
Computed, not measured: an optimized crystal structure of PmAuSO at the GGA-PBE level of DFT.

Calculated values
magnetic moment	0.0002	μB/atom

abc: 4.1328 6.1549 6.4724
angles: 90.00 90.00 90.00
Sites, in units of the cell vectors:
Pm: 0.0000 0.2241 0.0000
Pm: 0.0000 0.7759 0.5000
Au: 0.5000 0.2644 0.6298
Au: 0.5000 0.7356 0.1298
S: 0.5000 0.3680 0.2585
S: 0.5000 0.6320 0.7585
O: 0.0000 0.0714 0.6868
O: 0.0000 0.9286 0.1868

---

Which is most stable? The ranking, best first, is <w>, <y>, <x>, <z>.